Entry 1:
Compound: Y2PuGe3Pt4
Source: Alexandria via LeMat-Bulk
Functional: GGA-PBE
Structure: relaxed

Lattice parameters (Å, degrees): 4.2519 4.2519 11.2723 90.00 90.00 90.00
Space group P-4m2 (No. 115)
Asymmetric unit:
Y1 0.0000 0.5000 0.2204 x2
Pu1 0.0000 0.0000 0.5000 x1
Ge1 0.0000 0.5000 0.8760 x2
Ge2 0.5000 0.5000 0.5000 x1
Pt1 0.0000 0.0000 0.0000 x1
Pt2 0.0000 0.5000 0.6612 x2
Pt3 0.5000 0.5000 0.0000 x1

Values from the calculation:
The value obtained for the density of states at the Fermi level is 12.26 states/eV/f.u. Its energy of formation is -0.834 eV/atom.

---

Entry 2:
Compound: CdTc2Ru
Source: Alexandria via LeMat-Bulk
Functional: GGA-PBE
Structure: relaxed

Lattice parameters (Å, degrees): 3.9433 3.9433 7.9814 90.00 90.00 90.00
Space group I-4m2 (No. 119)
Asymmetric unit:
Cd1 0.0000 0.0000 0.0000 x2
Tc1 0.0000 0.0000 0.5000 x2
Tc2 0.0000 0.5000 0.2500 x2
Ru1 0.0000 0.5000 0.7500 x2

Values from the calculation:
The value obtained for the density of states at the Fermi level is 5.76 states/eV/f.u. Its energy of formation is 0.461 eV/atom.

---

Entry 3:
Compound: ZrTaP
Source: Alexandria via LeMat-Bulk
Functional: GGA-PBE
Structure: relaxed

Lattice parameters (Å, degrees): 3.2859 3.2859 9.9949 90.00 90.00 90.00
Space group I4mm (No. 107)
Asymmetric unit:
Zr1 0.0000 0.0000 0.0000 x2
Ta1 0.0000 0.0000 0.7073 x2
P1 0.0000 0.0000 0.3160 x2

Values from the calculation:
The value obtained for the density of states at the Fermi level is 1.74 states/eV/f.u. Its energy of formation is -0.495 eV/atom.

---

Entry 4:
Compound: U2TlF8
Source: Alexandria via LeMat-Bulk
Functional: GGA-PBE
Structure: relaxed

Lattice parameters (Å, degrees): 7.3002 11.2305 4.5336 90.00 98.56 90.00
Space group C2/m (No. 12)
Asymmetric unit:
U1 0.0000 0.1758 0.0000 x4
Tl1 0.0000 0.5000 0.5000 x2
F1 0.0000 0.2284 0.5000 x4
F2 0.0972 0.0000 0.2614 x4
F3 0.1900 0.3529 0.0595 x8

Values from the calculation:
The relative energy among the computed polymorphs comes out at 0 meV per atom. The calculation puts the formation energy from raw total energies at -3.270 eV per atom. The value obtained for the density of states at the Fermi level is 15.60 states/eV/f.u.

---

Entry 5:
Compound: IrRuSCl2
Source: Alexandria via LeMat-Bulk
Functional: GGA-PBE
Structure: relaxed

Lattice parameters (Å, degrees): 4.8185 4.8185 4.4359 90.00 90.00 90.00
Space group P4/mmm (No. 123)
Asymmetric unit:
Ir1 0.0000 0.0000 0.0000 x1
Ru1 0.5000 0.5000 0.5000 x1
S1 0.5000 0.5000 0.0000 x1
Cl1 0.0000 0.5000 0.5000 x2

Values from the calculation:
The relative energy among the computed polymorphs comes out at 156 meV per atom. The calculation puts the formation energy from raw total energies at 1.054 eV per atom. The value obtained for the density of states at the Fermi level is 8.34 states/eV/f.u.

---

Entry 6:
Compound: CsTl7In5
Source: Alexandria via LeMat-Bulk
Functional: GGA-PBE
Structure: relaxed

Lattice parameters (Å, degrees): 6.3774 11.2788 11.4511 90.00 90.00 90.00
Space group Imm2 (No. 44)
Asymmetric unit:
Cs1 0.0000 0.0000 0.0000 x2
Tl1 0.0000 0.0000 0.3570 x2
Tl2 0.0000 0.0000 0.6445 x2
Tl3 0.0000 0.2896 0.5020 x4
Tl4 0.0000 0.3551 0.0016 x4
Tl5 0.0000 0.5000 0.2805 x2
In1 0.0000 0.5000 0.7250 x2
In2 0.2494 0.2544 0.7518 x8

Values from the calculation:
The value obtained for the density of states at the Fermi level is 4.88 states/eV/f.u. Its energy of formation is -0.026 eV/atom.

---

Entry 7:
Compound: Ce2ZnNi4Sb3
Source: Alexandria via LeMat-Bulk
Functional: GGA-PBE
Structure: relaxed

Lattice parameters (Å, degrees): 4.3236 4.3236 10.1208 90.00 90.00 90.00
Space group P-4m2 (No. 115)
Asymmetric unit:
Ce1 0.0000 0.5000 0.2456 x2
Zn1 0.0000 0.0000 0.5000 x1
Ni1 0.0000 0.0000 0.0000 x1
Ni2 0.0000 0.5000 0.6245 x2
Ni3 0.5000 0.5000 0.0000 x1
Sb1 0.0000 0.5000 0.8680 x2
Sb2 0.5000 0.5000 0.5000 x1

Values from the calculation:
The calculation puts the formation energy from raw total energies at -0.609 eV per atom. The value obtained for the density of states at the Fermi level is 13.30 states/eV/f.u.

---

Entry 8:
Compound: Y2RuBr
Source: Alexandria via LeMat-Bulk
Functional: GGA-PBE
Structure: relaxed

Lattice parameters (Å, degrees): 3.9733 3.9733 23.1908 90.00 90.00 120.00
Space group R3m (No. 160, hexagonal axes)
Asymmetric unit:
Y1 0.0000 0.0000 0.0000 x3
Y2 0.0000 0.0000 0.2043 x3
Ru1 0.0000 0.0000 0.6017 x3
Br1 0.0000 0.0000 0.4334 x3

Values from the calculation:
The relative energy among the computed polymorphs comes out at 83 meV per atom. The calculation puts the formation energy from raw total energies at -0.711 eV per atom. The value obtained for the density of states at the Fermi level is 2.55 states/eV/f.u.

---

Entry 9:
Compound: TbScAgPd
Source: Alexandria via LeMat-Bulk
Functional: GGA-PBE
Structure: relaxed

Lattice parameters (Å, degrees): 3.4595 3.4595 7.0580 90.00 90.00 90.00
Space group P4mm (No. 99)
Asymmetric unit:
Tb1 0.0000 0.0000 0.0000 x1
Sc1 0.0000 0.0000 0.4791 x1
Ag1 0.5000 0.5000 0.7143 x1
Pd1 0.5000 0.5000 0.2637 x1

Values from the calculation:
The relative energy among the computed polymorphs comes out at 0 meV per atom. The value obtained for the density of states at the Fermi level is 3.35 states/eV/f.u. Its energy of formation is -0.575 eV/atom.

---

Entry 10:
Compound: HfGaAu2
Source: Alexandria via LeMat-Bulk
Functional: GGA-PBE
Structure: relaxed

Lattice parameters (Å, degrees): 4.2819 4.2819 4.0157 90.00 90.00 90.00
Space group P4/mmm (No. 123)
Asymmetric unit:
Hf1 0.0000 0.0000 0.0000 x1
Ga1 0.5000 0.5000 0.0000 x1
Au1 0.0000 0.5000 0.5000 x2

Values from the calculation:
The value obtained for the density of states at the Fermi level is 2.65 states/eV/f.u. Its energy of formation is -0.335 eV/atom.

---

Entry 11:
Compound: Mn5As
Source: Alexandria via LeMat-Bulk
Functional: GGA-PBE
Structure: relaxed

Lattice parameters (Å, degrees): 3.6785 10.6288 3.6586 90.00 90.00 90.00
Space group Cmmm (No. 65)
Asymmetric unit:
Mn1 0.0000 0.0000 0.0000 x2
Mn2 0.0000 0.1727 0.5000 x4
Mn3 0.0000 0.3283 0.0000 x4
As1 0.0000 0.5000 0.5000 x2

Values from the calculation:
The relative energy among the computed polymorphs comes out at 0 meV per atom. The value obtained for the density of states at the Fermi level is 4.94 states/eV/f.u. Its energy of formation is -0.049 eV/atom.

---

Entry 12:
Compound: LiMnRe2
Source: Alexandria via LeMat-Bulk
Functional: GGA-PBE
Structure: relaxed

Lattice parameters (Å, degrees): 2.6219 2.6219 8.0523 90.00 90.00 90.00
Space group P4/mmm (No. 123)
Asymmetric unit:
Li1 0.0000 0.0000 0.0000 x1
Mn1 0.0000 0.0000 0.5000 x1
Re1 0.5000 0.5000 0.2735 x2

Values from the calculation:
The relative energy among the computed polymorphs comes out at 150 meV per atom. The value obtained for the density of states at the Fermi level is 4.08 states/eV/f.u. Its energy of formation is 0.327 eV/atom.

---

Per-record total energy, eV for the cell shown: -73.6, -58.2, -54.6, -151.8, -20.7, -62.9, -54.7, -80.2, -21.3, -20.9, -101.6, -34.7